No. 1
The following is a DFT calculation (PBE) of Ca2InGa3Cu4 after structural relaxation.

Geometry as POSCAR:
```
Ca2InGa3Cu4
1.0
-0.192 0.382 4.232
3.328 -2.622 0.388
6.493 8.176 -0.445
Cu Ca Ga In
4 2 3 1
Cartesian
4.113 5.491 1.828
3.948 1.565 0.037
0.000 0.000 0.000
1.568 -1.120 2.310
1.451 2.139 2.010
6.610 4.917 -0.145
5.624 7.394 1.724
3.246 4.088 -0.222
2.436 -0.338 0.141
4.814 2.968 2.088
```

Its energy of formation from the pure elements is -283 meV/atom.

No. 2
The following is a DFT calculation (PBE) of OsPdN2O after structural relaxation.

Geometry as POSCAR:
```
OsPdN2O
1.0
-3.399 0.056 1.916
-1.219 -3.073 -2.073
1.442 -2.344 2.626
N Os Pd O
2 1 1 1
Cartesian
-1.700 0.028 0.958
-0.610 -1.537 -1.037
0.000 0.000 0.000
-1.588 -2.680 1.234
0.721 -1.172 1.313
```

The formation energy (no corrections) comes out at 0.704 eV/atom.

No. 3
The following is a DFT calculation (PBE) of Pa2Zn15Ag2 after structural relaxation.

Geometry as POSCAR:
```
Pa2Zn15Ag2
1.0
6.833 0.002 0.002
0.889 6.775 0.002
0.889 0.780 6.730
Zn Pa Ag
15 2 2
Cartesian
2.646 0.550 4.741
5.076 0.232 1.991
0.889 5.003 1.991
5.076 2.004 0.002
3.481 3.055 5.652
3.481 5.966 2.386
5.130 1.592 4.348
0.889 2.552 4.741
5.130 4.502 1.082
2.646 4.773 0.002
6.367 2.678 2.386
0.444 0.390 3.365
3.417 0.001 0.001
0.444 3.388 0.001
2.244 4.880 4.348
2.966 2.603 2.319
5.645 4.955 4.415
0.926 0.813 0.724
7.685 6.745 6.010
```

Its energy of formation from the pure elements is -105 meV/atom.

No. 4
The following is a DFT calculation (PBE) of DyPdAu4 after structural relaxation.

Geometry as POSCAR:
```
DyPdAu4
1.0
4.832 -0.392 0.144
0.382 5.310 1.840
-0.263 -0.046 8.808
Au Pd Dy
8 2 2
Cartesian
1.114 0.096 3.777
3.685 3.905 9.649
1.456 3.695 2.087
3.495 1.177 8.705
3.645 2.103 6.088
1.266 0.968 1.142
1.306 2.769 4.703
3.837 4.776 7.015
1.061 0.547 6.825
3.889 4.325 3.966
3.704 1.702 2.954
1.247 3.171 7.837
```

Its energy of formation from the pure elements is -516 meV/atom. As for the energy above the most stable polymorph in this dataset: 0.0000 eV per atom.

No. 5
The following is a DFT calculation (PBE) of RbSr2In after structural relaxation.

Geometry as POSCAR:
```
RbSr2In
1.0
-1.959 -4.188 3.081
-2.684 -2.005 -4.433
7.955 -10.137 -3.713
In Rb Sr
2 2 4
Cartesian
1.837 -8.711 -0.654
0.000 0.000 0.000
1.475 -7.619 -4.411
-2.321 -3.097 -0.676
0.378 -5.511 0.523
4.295 -9.873 -3.177
0.117 -4.202 -3.393
1.834 -13.074 -4.083
```

Its energy of formation from the pure elements is 212 meV/atom.

No. 6
The following is a DFT calculation (PBE) of Ba3Tc2O7 after structural relaxation.

Geometry as POSCAR:
```
Ba3Tc2O7
1.0
3.988 0.000 -0.749
-0.141 3.985 -0.749
0.047 0.049 11.235
O Tc Ba
7 2 3
Cartesian
3.590 1.654 8.121
2.368 0.387 1.615
0.000 0.000 0.000
0.747 0.774 3.974
0.304 2.380 1.615
3.147 3.260 5.763
1.526 3.647 8.121
0.373 0.386 1.984
3.521 3.648 7.752
1.923 1.993 -0.749
1.244 1.289 6.619
2.650 2.745 3.118
```

As for the energy above the most stable polymorph in this dataset: 0.0000 eV per atom. The formation energy (no corrections) comes out at -2.113 eV/atom.